No. 1
Below is an optimized crystal structure of Li2TeAuSe4, with properties calculated at the PBE level.

Calculated values
Raw total energy, eV/atom: -3.4107
V, A^3/atom: 23.2
Formation energy without anion corrections, eV per atom: -0.39
Theoretical density, g cm⁻³: 5.84

a b c (Å): 7.652 7.652 8.278
angles (deg): 117.06 117.06 89.63
Sites, in units of the cell vectors:
Se (0.284, 0.773, 0.095)
Se (0.772, 0.740, 0.015)
Se (0.240, 0.272, 0.515)
Se (0.273, 0.784, 0.595)
Se (0.760, 0.728, 0.485)
Se (0.727, 0.216, 0.405)
Se (0.716, 0.227, 0.905)
Se (0.228, 0.260, 0.985)
Li (0.500, 0.500, 0.000)
Li (0.500, 0.000, 0.500)
Li (0.500, 0.000, 0.000)
Li (0.000, 0.000, 0.500)
Te (0.500, 0.500, 0.500)
Te (0.000, 0.000, 0.000)
Au (0.000, 0.500, 0.000)
Au (0.000, 0.500, 0.500)

***

No. 2
Below is an optimized crystal structure of BaSbPd3, with properties calculated at the PBE level.

Calculated values
Raw total energy, eV/atom: -3.3918
V, A^3/atom: 30.3
Energy relative to the lowest polymorph listed for this composition, meV/atom: 1567
Formation energy without anion corrections, eV per atom: 0.93
Theoretical density, g cm⁻³: 6.34

a b c (Å): 5.332 5.332 5.332
angles (deg): 90.00 90.00 90.00
Sites, in units of the cell vectors:
Pd (0.000, 0.000, 0.500)
Pd (0.500, 0.000, 0.000)
Pd (0.000, 0.500, 0.000)
Sb (0.500, 0.500, 0.500)
Ba (0.000, 0.000, 0.000)

***

No. 3
Below is an optimized crystal structure of Li4ReOs, with properties calculated at the PBE level.

Calculated values
Raw total energy, eV/atom: -4.8170
V, A^3/atom: 11.7
Theoretical density, g cm⁻³: 9.58

a b c (Å): 4.628 4.628 4.628
angles (deg): 60.00 60.00 60.00
Sites, in units of the cell vectors:
Li (0.376, 0.873, 0.376)
Li (0.873, 0.376, 0.376)
Li (0.376, 0.376, 0.873)
Li (0.376, 0.376, 0.376)
Os (0.750, 0.750, 0.750)
Re (0.000, 0.000, 0.000)

***

No. 4
Below is an optimized crystal structure of CaMoIr2, with properties calculated at the PBE level.

Calculated values
Raw total energy, eV/atom: -7.2389
V, A^3/atom: 16.7
Energy relative to the lowest polymorph listed for this composition, meV/atom: 565
Theoretical density, g cm⁻³: 12.97

a b c (Å): 4.551 4.551 4.551
angles (deg): 60.00 60.00 60.00
Sites, in units of the cell vectors:
Ca (0.500, 0.500, 0.500)
Ir (0.000, 0.000, 0.000)
Ir (0.250, 0.250, 0.250)
Mo (0.750, 0.750, 0.750)